First-principles (PBE) data for Tb5Nd3Th2 after structural relaxation, as listed in Alexandria via LeMat-Bulk.

Calculated values
- crystal system = monoclinic
- total magnetization (μB/f.u.) = 0.0
- calculated volume (Å³ per cell) = 1353.2
- density of states at the Fermi level (states/eV/f.u.) = 13.8
- VASP energy (eV per atom) = -5.024
- energy of formation (meV per atom) = 205

Unit cell a=10.857 b=17.475 c=8.957 alpha=90.00 beta=127.22 gamma=90.00
Space group C2/c (No. 15)
Inequivalent atoms, fractional coordinates:
Tb (0.000, 0.031, 0.250) x4
Tb (0.000, 0.280, 0.750) x4
Tb (0.000, 0.467, 0.750) x4
Tb (0.250, 0.117, 0.751) x8
Nd (0.000, 0.222, 0.250) x4
Nd (0.144, 0.123, 0.037) x8
Th (0.136, 0.378, 0.523) x8